! Pm12Co6Hg (PBE-GGA, relaxed); values from VASP
! M_tot: 0.00 μB per cell
! Density: 7.8 Mg/m³
! Crystal system: cubic
! ΔH_f (0 K): -0.1536 eV per atom
! Total DFT energy (no corrections): -102.86 eV/f.u.
&SYSTEM
  ibrav = 0, nat = 19, ntyp = 3
/
ATOMIC_SPECIES
Pm 145.00 Pm.upf
Co 58.93 Co.upf
Hg 200.59 Hg.upf
ATOMIC_POSITIONS crystal
Pm 0.111 0.305 0.806
Pm 0.194 0.499 0.305
Pm 0.194 0.889 0.695
Pm 0.305 0.194 0.499
Pm 0.305 0.806 0.111
Pm 0.499 0.305 0.194
Pm 0.501 0.695 0.806
Pm 0.695 0.194 0.889
Pm 0.695 0.806 0.501
Pm 0.806 0.111 0.305
Pm 0.806 0.501 0.695
Pm 0.889 0.695 0.194
Co 0.112 0.500 0.612
Co 0.388 0.888 0.500
Co 0.500 0.388 0.888
Co 0.500 0.612 0.112
Co 0.612 0.112 0.500
Co 0.888 0.500 0.388
Hg 0.000 0.000 0.000
CELL_PARAMETERS angstrom
-4.955 4.955 4.955
4.955 -4.955 4.955
4.955 4.955 -4.955



! CrH2I (PBE-GGA, relaxed); values from VASP
! M_tot: 3.68 μB per cell
! Density: 5.5 Mg/m³
! Crystal system: cubic
! Polymorph energy (0 for the lowest one): 657.5 meV per atom
! Total DFT energy (no corrections): -13.79 eV/f.u.
&SYSTEM
  ibrav = 0, nat = 4, ntyp = 3
/
ATOMIC_SPECIES
Cr 52.00 Cr.upf
H 1.01 H.upf
I 126.90 I.upf
ATOMIC_POSITIONS crystal
Cr 0.000 0.000 0.000
H 0.250 0.250 0.250
H 0.750 0.750 0.750
I 0.500 0.500 0.500
CELL_PARAMETERS angstrom
0.000 3.004 3.004
3.004 0.000 3.004
3.004 3.004 0.000



! K4CuAg (PBE-GGA, relaxed); values from VASP
! M_tot: 0.00 μB per cell
! Density: 2.0 Mg/m³
! Crystal system: cubic
! ΔH_f (0 K): 0.5549 eV per atom
! Total DFT energy (no corrections): -8.01 eV/f.u.
&SYSTEM
  ibrav = 0, nat = 6, ntyp = 3
/
ATOMIC_SPECIES
K 39.10 K.upf
Cu 63.55 Cu.upf
Ag 107.87 Ag.upf
ATOMIC_POSITIONS crystal
K 0.125 0.125 0.125
K 0.125 0.125 0.625
K 0.125 0.625 0.125
K 0.625 0.125 0.125
Cu 0.500 0.500 0.500
Ag 0.750 0.750 0.750
CELL_PARAMETERS angstrom
0.000 5.173 5.173
5.173 0.000 5.173
5.173 5.173 0.000



The records above give, respectively, Fermi-level density of states values of 14.878 2.696 2.089 states/eV/f.u..